1.
Density functional theory data (PBE) for an optimized crystal structure of ReIr2Pb.

Cell: 6.9415 6.9415 6.9415 Å, 156.41 145.44 42.27°
With the nearest neighbours (Å) after each atom.
Fractional positions:
Re1 0.0000 0.0000 0.0000  6 Ir 2.55-2.66, 2 Re 2.84
Ir1 0.5687 0.5687 0.0000  4 Re 2.66, 2 Ir 2.84, 2 Pb 2.94
Ir2 0.8363 0.3363 0.5000  2 Re 2.55, 2 Ir 2.84, 4 Pb 2.85
Pb1 0.2308 0.7308 0.5000  2 Pb 2.84, 6 Ir 2.85-2.94

Formation enthalpy at 0 K   516 meV per atom
Total energy   -7.9535 eV/atom

=====

2.
Density functional theory data (PBE) for an optimized crystal structure of ReIrPb4.

Cell: 6.1158 6.1158 6.1158 Å, 60.00 60.00 60.00°
With the nearest neighbours (Å) after each atom.
Fractional positions:
Re1 0.0000 0.0000 0.0000  12 Pb 3.59, 4 Ir 3.75
Ir1 0.7500 0.7500 0.7500  12 Pb 3.59, 4 Re 3.75
Pb1 0.3751 0.3751 0.3751  6 Pb 3.06
Pb2 0.3751 0.3751 0.8747  6 Pb 3.06
Pb3 0.3751 0.8747 0.3751  6 Pb 3.06
Pb4 0.8747 0.3751 0.3751  6 Pb 3.06

Formation enthalpy at 0 K   1614 meV per atom
Total energy   -4.4096 eV/atom

=====

3.
Density functional theory data (PBE) for an optimized crystal structure of Re2IrPb.

Cell: 9.4856 9.4856 9.4856 Å, 17.61 17.61 17.61°
With the nearest neighbours (Å) after each atom.
Fractional positions:
Re1 0.2427 0.2427 0.2427  3 Ir 2.71, 6 Re 2.90
Re2 0.7573 0.7573 0.7573  3 Ir 2.71, 6 Re 2.90
Ir1 0.5000 0.5000 0.5000  6 Re 2.71, 6 Ir 2.90
Pb1 0.0000 0.0000 0.0000  6 Pb 2.90, 6 Re 3.04

Formation enthalpy at 0 K   716 meV per atom
Total energy   -8.6506 eV/atom

=====

What did the third record say?
Density functional theory data (PBE) for an optimized crystal structure of Re2IrPb.

Cell: 9.4856 9.4856 9.4856 Å, 17.61 17.61 17.61°
With the nearest neighbours (Å) after each atom.
Fractional positions:
Re1 0.2427 0.2427 0.2427  3 Ir 2.71, 6 Re 2.90
Re2 0.7573 0.7573 0.7573  3 Ir 2.71, 6 Re 2.90
Ir1 0.5000 0.5000 0.5000  6 Re 2.71, 6 Ir 2.90
Pb1 0.0000 0.0000 0.0000  6 Pb 2.90, 6 Re 3.04

Formation enthalpy at 0 K   716 meV per atom
Total energy   -8.6506 eV/atom

=====

> Which value of total energy does entry 2 give?

-4.4096 eV/atom

=====

> Among the records above, which one has the lowest total energy?

Re2IrPb